La2AlTcIr: optimized geometry, GGA-PBE.

Unit cell a=5.439 b=5.439 c=4.718 alpha=90.00 beta=90.00 gamma=90.00
Space group P4/mmm (No. 123)
Asymmetric unit:
La 0.000 0.500 0.000 (multiplicity 2)
Al 0.000 0.000 0.500 (multiplicity 1)
Tc 0.500 0.500 0.000 (multiplicity 1)
Ir 0.500 0.500 0.500 (multiplicity 1)

Theoretical density = 7.08 Mg/m³
Total moment = 0.0 μB/cell
Crystal system = tetragonal
DFT total energy = -6.33 eV per atom